# AlCr5 | Alexandria | PBE | optimized geometry
data_AlCr5
_cell_length_a 4.7190
_cell_length_b 4.7190
_cell_length_c 4.7190
_cell_angle_alpha 60.00
_cell_angle_beta 60.00
_cell_angle_gamma 60.00
_space_group_name_H-M_alt 'P 1'
_space_group_IT_number 1
_space_group_name_Hall 'P 1'
loop_
_atom_site_label
_atom_site_fract_x
_atom_site_fract_y
_atom_site_fract_z
Al1 0.0000 0.0000 0.0000
Cr1 0.3749 0.3749 0.3749
Cr2 0.3749 0.3749 0.8753
Cr3 0.3749 0.8753 0.3749
Cr4 0.7500 0.7500 0.7500
Cr5 0.8753 0.3749 0.3749
# SG = F-43m
# energy = -8.578 eV per atom
# total moment = 0.00 μB per cell
# formation energy from the elements = 1.50 kcal/mol of atoms
# mass density = 6.41 g cm⁻³
# E above lowest polymorph = 0.1149 eV/atom